La6Ge2Rh | PBE | optimized geometry

## Properties
**V**: 36.6 Å³ per atom
**Space group**: P4_2/mnm (136)
**Formation energy**: -0.416 eV/atom
**Offset from the most stable computed form**: 196 meV/atom
**Total energy**: -5.54 eV per atom
**Fermi-level density of states**: 1.5215 states/eV per atom
**Total moment**: 0.0 μB per cell

Cell: 7.1027 7.1027 13.0454 Å, 90.00 90.00 90.00°
Last column: nearest neighbours and their distance in Å.
Element x y z (fractional)
1 La 0.1993 0.1993 0.1607  1 Rh 2.90, 2 Ge 3.02-3.03
2 La 0.1993 0.1993 0.8393  1 Rh 2.90, 2 Ge 3.02-3.03
3 La 0.2124 0.2124 0.5000  1 Rh 2.89, 2 Ge 3.03
4 La 0.2876 0.7124 0.0000  1 Rh 2.89, 2 Ge 3.03
5 La 0.3007 0.6993 0.3393  1 Rh 2.90, 2 Ge 3.02-3.03
6 La 0.3007 0.6993 0.6607  1 Rh 2.90, 2 Ge 3.02-3.03
7 La 0.6993 0.3007 0.3393  1 Rh 2.90, 2 Ge 3.02-3.03
8 La 0.6993 0.3007 0.6607  1 Rh 2.90, 2 Ge 3.02-3.03
9 La 0.7124 0.2876 0.0000  1 Rh 2.89, 2 Ge 3.03
10 La 0.7876 0.7876 0.5000  1 Rh 2.89, 2 Ge 3.03
11 La 0.8007 0.8007 0.1607  1 Rh 2.90, 2 Ge 3.02-3.03
12 La 0.8007 0.8007 0.8393  1 Rh 2.90, 2 Ge 3.02-3.03
13 Ge 0.0000 0.0000 0.3350  6 La 3.02-3.03
14 Ge 0.0000 0.0000 0.6650  6 La 3.02-3.03
15 Ge 0.5000 0.5000 0.1650  6 La 3.02-3.03
16 Ge 0.5000 0.5000 0.8350  6 La 3.02-3.03
17 Rh 0.0000 0.0000 0.0000  6 La 2.89-2.90
18 Rh 0.5000 0.5000 0.5000  6 La 2.89-2.90